The following is a GGA+U calculation of NaBiMoO4 after structural relaxation, from the Alexandria database.

## Properties
* uncorrected energy: -6.0838 eV per atom
* size of the total moment: 0.286 μB per atom

Cell lengths 6.571, 6.797, 7.026 Å; angles 121.12, 90.00, 118.91 degrees
Last column: magnetic moment on the atom in μB.
Atoms (fractional coordinates):
O1 0.255 0.509 0.309  0.01
Bi1 0.500 0.000 0.000  0.01
O2 0.745 0.491 0.300  0.01
O3 0.298 0.071 0.286  -0.01
O4 0.702 0.929 0.714  -0.01
O5 0.745 0.491 0.691  0.01
O6 0.774 0.071 0.286  -0.01
Na1 0.879 0.758 0.129  0.00
O7 0.255 0.509 0.700  0.01
Bi2 0.500 0.000 0.500  0.01
Mo1 0.000 0.500 0.500  1.92
O8 0.226 0.929 0.714  -0.01
Mo2 0.500 0.500 0.500  1.92
Na2 0.121 0.242 0.871  0.00